# 1
VASP calculation (GGA-PBE) on a geometry-optimized LiMgSc2 structure.

Values from the calculation:
Energy relative to the elements (eV per formula unit): 0.65
Crystal system: tetragonal
Magnetic moment (μB/atom): 0.000
Electronic total energy (eV per atom): -3.8806
Fermi-level density of states (states/eV per cell): 10.4

Structure (CIF):
```
data_LiMgSc2
_chemical_formula_sum 'Li2 Mg2 Sc4'
_cell_length_a 4.4959
_cell_length_b 4.4959
_cell_length_c 9.0099
_cell_angle_alpha 90.00
_cell_angle_beta 90.00
_cell_angle_gamma 90.00
_space_group_name_H-M_alt 'I -4 m 2'
_space_group_IT_number 119
_space_group_name_Hall 'I -4 -2'
loop_
_atom_site_label
_atom_site_fract_x
_atom_site_fract_y
_atom_site_fract_z
Li1 0.0000 0.0000 0.0000
Mg1 0.0000 0.5000 0.7500
Sc1 0.0000 0.0000 0.5000
Sc2 0.0000 0.5000 0.2500
```

***

# 2
VASP calculation (GGA-PBE) on a geometry-optimized TaCr2Cd structure.

Values from the calculation:
Energy relative to the elements (eV per formula unit): 4.01
Crystal system: tetragonal
Magnetic moment (μB/atom): 1.257
Electronic total energy (eV per atom): -7.0017
Fermi-level density of states (states/eV per cell): 13.6

Structure (CIF):
```
data_TaCr2Cd
_chemical_formula_sum 'Ta4 Cr8 Cd4'
_cell_length_a 7.0985
_cell_length_b 7.0985
_cell_length_c 5.7429
_cell_angle_alpha 90.00
_cell_angle_beta 90.00
_cell_angle_gamma 90.00
_space_group_name_H-M_alt 'I -4 2 d'
_space_group_IT_number 122
_space_group_name_Hall 'I -4 2bw'
loop_
_atom_site_label
_atom_site_fract_x
_atom_site_fract_y
_atom_site_fract_z
Ta1 0.0000 0.0000 0.0000
Cr1 0.2329 0.2500 0.1250
Cd1 0.0000 0.0000 0.5000
```

***

# 3
VASP calculation (GGA-PBE) on a geometry-optimized LiMgBePt structure.

Values from the calculation:
Energy relative to the elements (eV per formula unit): -1.87
Crystal system: cubic
Magnetic moment (μB/atom): 0.000
Electronic total energy (eV per atom): -3.7865
Fermi-level density of states (states/eV per cell): 4.4

Structure (CIF):
```
data_LiMgBePt
_chemical_formula_sum 'Li4 Mg4 Be4 Pt4'
_cell_length_a 6.0207
_cell_length_b 6.0207
_cell_length_c 6.0207
_cell_angle_alpha 90.00
_cell_angle_beta 90.00
_cell_angle_gamma 90.00
_space_group_name_H-M_alt 'F -4 3 m'
_space_group_IT_number 216
_space_group_name_Hall 'F -4 2 3'
loop_
_atom_site_label
_atom_site_fract_x
_atom_site_fract_y
_atom_site_fract_z
Li1 0.0000 0.0000 0.0000
Mg1 0.2500 0.2500 0.2500
Be1 0.2500 0.2500 0.7500
Pt1 0.0000 0.0000 0.5000
```

***

# 4
VASP calculation (GGA-PBE) on a geometry-optimized LaAlRhO6 structure.

Values from the calculation:
ΔE_f (raw) (eV per atom): -1.9849
Crystal system: trigonal
Magnetic moment (μB/atom): 0.307
Electronic total energy (eV per atom): -7.0705
Fermi-level density of states (states/eV per cell): 3.6

Structure (CIF):
```
data_LaAlRhO6
_chemical_formula_sum 'La1 Al1 Rh1 O6'
_cell_length_a 5.1012
_cell_length_b 5.1012
_cell_length_c 5.2156
_cell_angle_alpha 90.00
_cell_angle_beta 90.00
_cell_angle_gamma 120.00
_space_group_name_H-M_alt 'P 3 1 2'
_space_group_IT_number 149
loop_
_space_group_symop_operation_xyz
'x,y,z'
'-y,x-y,z'
'-x+y,-x,z'
'-y,-x,-z'
'-x+y,y,-z'
'x,x-y,-z'
loop_
_atom_site_label
_atom_site_fract_x
_atom_site_fract_y
_atom_site_fract_z
La1 0.0000 0.0000 0.0000
Al1 0.3333 0.6667 0.5000
Rh1 0.6667 0.3333 0.5000
O1 0.0067 0.3752 0.7057
```

***

# 5
VASP calculation (GGA-PBE) on a geometry-optimized Ba4MnSi structure.

Values from the calculation:
ΔE_f (raw) (eV per atom): 0.8633
Crystal system: cubic
Magnetic moment (μB/atom): 0.555
Electronic total energy (eV per atom): -2.8507
Fermi-level density of states (states/eV per cell): 28.4

Structure (CIF):
```
data_Ba4MnSi
_chemical_formula_sum 'Ba16 Mn4 Si4'
_cell_length_a 10.0321
_cell_length_b 10.0321
_cell_length_c 10.0321
_cell_angle_alpha 90.00
_cell_angle_beta 90.00
_cell_angle_gamma 90.00
_space_group_name_H-M_alt 'F -4 3 m'
_space_group_IT_number 216
_space_group_name_Hall 'F -4 2 3'
loop_
_atom_site_label
_atom_site_fract_x
_atom_site_fract_y
_atom_site_fract_z
Ba1 0.1241 0.1241 0.3759
Mn1 0.0000 0.0000 0.0000
Si1 0.2500 0.2500 0.7500
```

***

# 6
VASP calculation (GGA-PBE) on a geometry-optimized AlZnRh structure.

Values from the calculation:
Energy relative to the elements (eV per formula unit): -0.77
Crystal system: cubic
Magnetic moment (μB/atom): 0.000
Excess energy over the best structure of this formula in the dataset (meV per atom): 312
Electronic total energy (eV per atom): -4.3785
Fermi-level density of states (states/eV per cell): 3.4

Structure (CIF):
```
data_AlZnRh
_chemical_formula_sum 'Al4 Zn4 Rh4'
_cell_length_a 5.7895
_cell_length_b 5.7895
_cell_length_c 5.7895
_cell_angle_alpha 90.00
_cell_angle_beta 90.00
_cell_angle_gamma 90.00
_space_group_name_H-M_alt 'F -4 3 m'
_space_group_IT_number 216
_space_group_name_Hall 'F -4 2 3'
loop_
_atom_site_label
_atom_site_fract_x
_atom_site_fract_y
_atom_site_fract_z
Al1 0.0000 0.0000 0.0000
Zn1 0.2500 0.2500 0.7500
Rh1 0.2500 0.2500 0.2500
```